Version A
DFT (PBE) results for crystalline In3GaSi at its relaxed geometry.

Lattice parameters (Å, degrees): 5.2732 5.2732 5.2732 90.00 90.00 90.00
Closest atoms and distances in Å follow each position.
Sites, in units of the cell vectors:
In1 0.0000 0.0000 0.5000  2 Si 2.64
In2 0.0000 0.5000 0.0000  2 Si 2.64
In3 0.5000 0.0000 0.0000  2 Si 2.64
Ga1 0.5000 0.5000 0.5000  12 In 3.73
Si1 0.0000 0.0000 0.0000  6 In 2.64

Summary:
Space group: No. 221

---

Version B
DFT (PBE) results for crystalline In3GaSi at its relaxed geometry.

Lattice parameters (Å, degrees): 5.2581 5.2581 5.2581 90.00 90.00 90.00
Closest atoms and distances in Å follow each position.
Sites, in units of the cell vectors:
In1 0.0000 0.0000 0.5000  2 Ga 2.63
In2 0.0000 0.5000 0.0000  2 Ga 2.63
In3 0.5000 0.0000 0.0000  2 Ga 2.63
Ga1 0.0000 0.0000 0.0000  6 In 2.63
Si1 0.5000 0.5000 0.5000  12 In 3.72

Summary:
Space group: No. 221

---

Least stable of them? version B.

---

Version A
DFT (PBE) results for crystalline SmInGa at its relaxed geometry.

Lattice parameters (Å, degrees): 4.6095 4.6095 4.0083 90.00 90.00 120.00
Closest atoms and distances in Å follow each position.
Sites, in units of the cell vectors:
Sm1 0.0000 0.0000 0.0000  3 Ga 3.09, 6 In 3.23-3.44
In1 0.3333 0.6667 0.4567  3 Ga 2.73
Ga1 0.6667 0.3333 0.6099  3 In 2.73

Summary:
Space group: No. 156

---

Version B
DFT (PBE) results for crystalline SmInGa at its relaxed geometry.

Lattice parameters (Å, degrees): 4.7936 4.7936 4.7936 60.00 60.00 60.00
Closest atoms and distances in Å follow each position.
Sites, in units of the cell vectors:
Sm1 0.0000 0.0000 0.0000  4 Ga 2.94
In1 0.5000 0.5000 0.5000  4 Ga 2.94
Ga1 0.7500 0.7500 0.7500  4 Sm 2.94, 4 In 2.94

Summary:
Space group: No. 216

---

Least stable of them? version B.

---

Version A
DFT (PBE) results for crystalline SmInGa at its relaxed geometry.

Lattice parameters (Å, degrees): 4.7422 4.7422 7.3205 90.00 90.00 119.59
Closest atoms and distances in Å follow each position.
Sites, in units of the cell vectors:
Sm1 0.0000 0.0000 0.0000  6 Ga 3.28-3.31, 6 In 3.29-3.30, 2 Sm 3.66
Sm2 0.0000 0.0000 0.5000  6 Ga 3.28-3.31, 6 In 3.29-3.30, 2 Sm 3.66
In1 0.3337 0.6663 0.7500  3 Ga 2.74-2.75
In2 0.6663 0.3337 0.2500  3 Ga 2.74-2.75
Ga1 0.3322 0.6678 0.2500  3 In 2.74-2.75
Ga2 0.6678 0.3322 0.7500  3 In 2.74-2.75

Summary:
Space group: No. 63

---

Version B
DFT (PBE) results for crystalline SmInGa at its relaxed geometry.

Lattice parameters (Å, degrees): 6.0099 6.0099 6.0099 133.50 102.94 95.03
Closest atoms and distances in Å follow each position.
Sites, in units of the cell vectors:
Sm1 0.0000 0.0000 0.0000  6 Ga 3.19-3.36, 6 In 3.27-3.38
Sm2 0.5000 0.0000 0.5000  6 Ga 3.19-3.36, 6 In 3.27-3.38
In1 0.4034 0.6534 0.7500  1 Ga 2.72, 2 In 2.84
In2 0.5966 0.3466 0.2500  1 Ga 2.72, 2 In 2.84
Ga1 0.0681 0.3181 0.7500  2 Ga 2.62, 1 In 2.72
Ga2 0.9319 0.6819 0.2500  2 Ga 2.62, 1 In 2.72

Summary:
Space group: No. 74

---

Least stable of them? version B.

---

Version A
DFT (PBE) results for crystalline SmInGa4 at its relaxed geometry.

Lattice parameters (Å, degrees): 3.5020 4.6909 7.9134 90.00 90.00 90.00
Closest atoms and distances in Å follow each position.
Sites, in units of the cell vectors:
Sm1 0.0000 0.0000 0.0000  12 Ga 3.19-3.21, 2 Sm 3.50
In1 0.0000 0.5000 0.5000  12 Ga 3.17-3.20, 2 In 3.50
Ga1 0.5000 0.0000 0.3368  3 Ga 2.58-2.70
Ga2 0.5000 0.0000 0.6632  3 Ga 2.58-2.70
Ga3 0.5000 0.5000 0.1665  3 Ga 2.64-2.70
Ga4 0.5000 0.5000 0.8335  3 Ga 2.64-2.70

Summary:
Space group: No. 47

---

Version B
DFT (PBE) results for crystalline SmInGa4 at its relaxed geometry.

Lattice parameters (Å, degrees): 5.6369 5.6369 5.6369 60.00 60.00 60.00
Closest atoms and distances in Å follow each position.
Sites, in units of the cell vectors:
Sm1 0.0000 0.0000 0.0000  12 Ga 3.30, 4 In 3.45
In1 0.7500 0.7500 0.7500  12 Ga 3.31, 4 Sm 3.45
Ga1 0.3749 0.3749 0.3749  6 Ga 2.82
Ga2 0.3749 0.3749 0.8753  6 Ga 2.82
Ga3 0.3749 0.8753 0.3749  6 Ga 2.82
Ga4 0.8753 0.3749 0.3749  6 Ga 2.82

Summary:
Space group: No. 216

---

Least stable of them? version A.

---

Version A
DFT (PBE) results for crystalline Sm6In2Ga at its relaxed geometry.

Lattice parameters (Å, degrees): 9.0171 9.0171 9.0171 146.49 131.75 60.02
Closest atoms and distances in Å follow each position.
Sites, in units of the cell vectors:
Sm1 0.0812 0.3381 0.7432  1 Ga 3.10, 3 In 3.22-3.24
Sm2 0.2371 0.0000 0.2371  2 Ga 3.13, 2 In 3.23, 1 Sm 3.49
Sm3 0.4051 0.6619 0.7432  1 Ga 3.10, 3 In 3.22-3.24
Sm4 0.5949 0.3381 0.2568  1 Ga 3.10, 3 In 3.22-3.24
Sm5 0.7629 0.0000 0.7629  2 Ga 3.13, 2 In 3.23, 1 Sm 3.49
Sm6 0.9188 0.6619 0.2568  1 Ga 3.10, 3 In 3.22-3.24
In1 0.3348 0.8348 0.5000  8 Sm 3.22-3.24
In2 0.6652 0.1652 0.5000  8 Sm 3.22-3.24
Ga1 0.0000 0.5000 0.5000  8 Sm 3.10-3.13

Summary:
Space group: No. 71

---

Version B
DFT (PBE) results for crystalline Sm6In2Ga at its relaxed geometry.

Lattice parameters (Å, degrees): 8.9871 8.9871 3.7861 90.00 90.00 120.00
Closest atoms and distances in Å follow each position.
Sites, in units of the cell vectors:
Sm1 0.0000 0.3876 0.0000  4 In 3.37, 1 Ga 3.48, 6 Sm 3.60-3.63
Sm2 0.0000 0.7288 0.5000  2 Ga 3.09, 2 In 3.31
Sm3 0.2712 0.2712 0.5000  2 Ga 3.09, 2 In 3.31
Sm4 0.3876 0.0000 0.0000  4 In 3.37, 1 Ga 3.48, 6 Sm 3.60-3.63
Sm5 0.6124 0.6124 0.0000  4 In 3.37, 1 Ga 3.48, 6 Sm 3.60-3.63
Sm6 0.7288 0.0000 0.5000  2 Ga 3.09, 2 In 3.31
In1 0.3333 0.6667 0.5000  9 Sm 3.31-3.37
In2 0.6667 0.3333 0.5000  9 Sm 3.31-3.37
Ga1 0.0000 0.0000 0.0000  6 Sm 3.09

Summary:
Space group: No. 189

---

Least stable of them? version A.

---

Version A
DFT (PBE) results for crystalline Sm4InGa2 at its relaxed geometry.

Lattice parameters (Å, degrees): 8.9131 8.9131 8.9131 33.74 33.74 33.74
Closest atoms and distances in Å follow each position.
Sites, in units of the cell vectors:
Sm1 0.1162 0.1162 0.1162  4 Ga 3.09-3.34, 3 In 3.25
Sm2 0.3691 0.3691 0.3691  4 Ga 3.03-3.23, 1 In 3.30
Sm3 0.6309 0.6309 0.6309  4 Ga 3.03-3.23, 1 In 3.30
Sm4 0.8838 0.8838 0.8838  4 Ga 3.09-3.34, 3 In 3.25
In1 0.5000 0.5000 0.5000  8 Sm 3.25-3.30, 6 Ga 3.63
Ga1 0.2488 0.2488 0.2488  8 Sm 3.03-3.34
Ga2 0.7512 0.7512 0.7512  8 Sm 3.03-3.34

Summary:
Space group: No. 166

---

Version B
DFT (PBE) results for crystalline Sm4InGa2 at its relaxed geometry.

Lattice parameters (Å, degrees): 9.4996 9.4996 9.4996 31.48 31.48 31.48
Closest atoms and distances in Å follow each position.
Sites, in units of the cell vectors:
Sm1 0.1188 0.1188 0.1188  3 In 3.24, 3 Ga 3.28
Sm2 0.2929 0.2929 0.2929  4 Ga 2.93-3.07
Sm3 0.7071 0.7071 0.7071  4 Ga 2.93-3.07
Sm4 0.8812 0.8812 0.8812  3 In 3.24, 3 Ga 3.28
In1 0.5000 0.5000 0.5000  2 Ga 2.67
Ga1 0.4012 0.4012 0.4012  1 In 2.67, 1 Sm 2.93
Ga2 0.5988 0.5988 0.5988  1 In 2.67, 1 Sm 2.93

Summary:
Space group: No. 166

---

Least stable of them? version B.